Computed, not measured: a PBEsol-optimized structure of CaTiGeO5 at the SCAN level of DFT.

a b c (Å): 6.664 8.867 7.154
angles (deg): 90.00 113.91 90.00
Space group P2_1/c (No. 14)
One atom of each set of equivalent atoms:
Ca  0.250  0.076  0.246
Ti  0.251  0.748  0.991
Ge  0.249  0.068  0.748
O  0.058  0.194  0.577
O  0.144  0.542  0.393
O  0.250  0.683  0.749
O  0.357  0.541  0.105
O  0.439  0.193  0.921

Summary:
Calculated volume, Å³ per cell: 386
D(E_F), states/eV per atom: 0.000
Formation energy from raw total energies, kJ/mol of formula units: -2209
Total DFT energy (no corrections), eV per cell: -395.32